A plane-wave DFT calculation with GGA-PBE was carried out for crystalline ScCr2Co2 at its relaxed geometry.

Summary:
magnetization: 1.69 μB/f.u.
formation energy from the elements: 0.078 eV per atom
offset from the most stable computed form: 0 meV per atom

Cell and atoms, written as CIF:
```
data_ScCr2Co2
_symmetry_space_group_name_H-M 'I 4/m m m'
_symmetry_Int_Tables_number 139
_symmetry_space_group_name_Hall '-I 4 2'
_cell_length_a 3.8010
_cell_length_b 3.8010
_cell_length_c 9.6525
_cell_angle_alpha 90.00
_cell_angle_beta 90.00
_cell_angle_gamma 90.00
loop_
_atom_site_label
_atom_site_fract_x
_atom_site_fract_y
_atom_site_fract_z
_atom_site_occupancy
Sc1 0.0000 0.0000 0.0000 1
Cr1 0.0000 0.5000 0.2500 1
Co1 0.0000 0.0000 0.3838 1
```